The following is a PBE calculation of a relaxed Be2NbAsPb crystal, from Alexandria.

## Properties
The total energy comes out at -3.7860 eV per atom.

a b c (Å): 4.627 4.627 5.424
angles (deg): 90.00 90.00 90.00
Space group P4/mmm (No. 123)
Unique sites:
Be: 0.000 0.500 0.000 [2 per cell]
Nb: 0.000 0.000 0.000 [1 per cell]
As: 0.500 0.500 0.500 [1 per cell]
Pb: 0.000 0.000 0.500 [1 per cell]